Record 1
Material: PuNpPaRu
Method: DFT, GGA-PBE
State: relaxed

The structure in POSCAR format:
```
PuNpPaRu
1.0
4.787 0.000 0.000
2.393 4.145 0.000
2.393 1.382 3.908
Pa Ru Np Pu
1 1 1 1
direct
0.750 0.750 0.750
0.000 0.000 0.000
0.500 0.500 0.500
0.250 0.250 0.250
```

Computed properties:
E_form = -0.01 eV/atom
electronic total energy = -11.525 eV per atom

Record 2
Material: Pu2NpPaS4
Method: DFT, GGA-PBE
State: relaxed

The structure in POSCAR format:
```
Pu2NpPaS4
1.0
-0.238 2.346 3.089
2.845 -4.871 3.918
6.678 0.757 -0.060
S Pa Pu Np
4 1 2 1
direct
0.500 0.250 0.750
0.500 0.750 0.250
0.000 0.248 0.250
0.000 0.752 0.750
0.500 0.500 0.000
0.500 0.000 0.500
0.000 0.000 0.000
0.000 0.500 0.500
```

Computed properties:
energy relative to the elements, uncorrected = -1.62 eV per atom
electronic total energy = -10.074 eV per atom

Record 3
Material: PuNp2PaS4
Method: DFT, GGA-PBE
State: relaxed

The structure in POSCAR format:
```
PuNp2PaS4
1.0
3.885 0.000 0.000
0.000 6.824 0.151
0.000 -2.351 6.286
S Pa Pu Np
4 1 1 2
direct
0.500 0.249 0.250
0.000 0.246 0.748
0.500 0.751 0.750
0.000 0.754 0.252
0.500 0.500 0.000
0.000 0.000 0.000
0.500 0.000 0.500
0.000 0.500 0.500
```

Computed properties:
energy relative to the elements, uncorrected = -1.53 eV per atom
electronic total energy = -9.812 eV per atom

Record 4
Material: Pu2NpPa3Se6
Method: DFT, GGA-PBE
State: relaxed

The structure in POSCAR format:
```
Pu2NpPa3Se6
1.0
-3.701 0.573 1.551
2.721 -2.437 7.395
3.327 8.439 -0.479
Pu Se Pa Np
2 6 3 1
direct
0.166 0.337 0.331
0.834 0.663 0.669
0.668 0.587 0.335
0.001 0.752 0.001
0.334 0.911 0.668
0.666 0.089 0.332
0.332 0.413 0.665
0.999 0.248 0.999
0.167 0.839 0.335
0.500 0.500 0.000
0.833 0.161 0.665
0.500 0.000 0.000
```

Computed properties:
energy relative to the elements, uncorrected = -1.28 eV per atom
electronic total energy = -8.863 eV per atom

Record 5
Material: PuNpPaTc
Method: DFT, GGA-PBE
State: relaxed

The structure in POSCAR format:
```
PuNpPaTc
1.0
4.805 0.000 0.000
2.402 4.161 0.000
2.402 1.387 3.923
Tc Pu Pa Np
1 1 1 1
direct
0.250 0.250 0.250
0.500 0.500 0.500
0.000 0.000 0.000
0.750 0.750 0.750
```

Computed properties:
E_form = 0.10 eV/atom
electronic total energy = -11.681 eV per atom

Record 6
Material: PuThNpPa
Method: DFT, GGA-PBE
State: relaxed

The structure in POSCAR format:
```
PuThNpPa
1.0
5.234 0.000 0.000
2.617 4.533 0.000
2.617 1.511 4.273
Np Pa Pu Th
1 1 1 1
direct
0.000 0.000 0.000
0.750 0.750 0.750
0.500 0.500 0.500
0.250 0.250 0.250
```

Computed properties:
E_form = 0.41 eV/atom
electronic total energy = -10.633 eV per atom

Record 7
Material: PuZrNpPa
Method: DFT, GGA-PBE
State: relaxed

The structure in POSCAR format:
```
PuZrNpPa
1.0
5.098 0.000 0.000
2.549 4.415 0.000
2.549 1.472 4.162
Pa Zr Np Pu
1 1 1 1
direct
0.750 0.750 0.750
0.250 0.250 0.250
0.000 0.000 0.000
0.500 0.500 0.500
```

Computed properties:
E_form = 0.36 eV/atom
electronic total energy = -10.974 eV per atom

Record 8
Material: Rb2Np2PaS6
Method: DFT, GGA-PBE
State: relaxed

The structure in POSCAR format:
```
Rb2Np2PaS6
1.0
-2.146 -0.872 6.627
-3.009 -3.680 -5.166
7.054 -4.185 0.480
Np S Pa Rb
2 6 1 2
direct
0.334 0.666 0.500
0.666 0.334 0.500
0.390 0.061 0.686
0.939 0.610 0.314
0.262 0.262 0.313
0.061 0.390 0.686
0.610 0.939 0.314
0.738 0.738 0.687
0.000 0.000 0.500
0.169 0.831 0.000
0.831 0.169 0.000
```

Computed properties:
energy relative to the elements, uncorrected = -1.47 eV per atom
electronic total energy = -7.113 eV per atom

Record 9
Material: RbNpPaS4
Method: DFT, GGA-PBE
State: relaxed

The structure in POSCAR format:
```
RbNpPaS4
1.0
8.443 0.000 0.000
-4.222 7.372 -0.511
0.000 -4.434 7.291
Rb S Np Pa
2 8 2 2
direct
0.124 0.249 0.874
0.876 0.751 0.126
0.269 0.538 0.723
0.737 0.055 0.277
0.317 0.055 0.277
0.731 0.462 0.685
0.263 0.945 0.723
0.269 0.538 0.315
0.731 0.462 0.277
0.683 0.945 0.723
0.500 0.000 0.000
0.500 0.000 0.500
0.000 0.500 0.500
0.500 0.500 0.500
```

Computed properties:
energy relative to the elements, uncorrected = -1.43 eV per atom
electronic total energy = -7.129 eV per atom

Record 10
Material: Rb3Np3PaS8
Method: DFT, GGA-PBE
State: relaxed

The structure in POSCAR format:
```
Rb3Np3PaS8
1.0
8.143 0.000 0.000
-4.072 7.052 -0.031
0.000 -4.668 7.837
S Rb Pa Np
8 3 1 3
direct
0.264 0.039 0.313
0.736 0.961 0.687
0.225 0.961 0.687
0.271 0.541 0.312
0.729 0.459 0.688
0.225 0.450 0.687
0.775 0.550 0.313
0.775 0.039 0.313
0.000 0.500 0.000
0.000 0.000 0.000
0.500 0.500 0.000
0.000 0.000 0.500
0.000 0.500 0.500
0.500 0.000 0.500
0.500 0.500 0.500
```

Computed properties:
energy relative to the elements, uncorrected = -1.45 eV per atom
electronic total energy = -7.063 eV per atom

Record 11
Material: Rb3NpPa3Se8
Method: DFT, GGA-PBE
State: relaxed

The structure in POSCAR format:
```
Rb3NpPa3Se8
1.0
-7.589 -2.612 -2.275
6.575 -1.503 -4.912
-0.565 -5.281 7.949
Se Rb Pa Np
8 3 3 1
direct
0.235 0.962 0.697
0.734 0.468 0.701
0.273 0.038 0.303
0.765 0.530 0.303
0.765 0.038 0.303
0.266 0.532 0.299
0.727 0.962 0.697
0.235 0.470 0.697
0.000 0.000 0.000
0.500 0.500 0.000
0.000 0.500 0.000
0.500 0.500 0.500
0.000 0.500 0.500
0.500 0.000 0.500
0.000 0.000 0.500
```

Computed properties:
energy relative to the elements, uncorrected = -1.32 eV per atom
electronic total energy = -6.131 eV per atom

Record 12
Material: RbNpPaSe4
Method: DFT, GGA-PBE
State: relaxed

The structure in POSCAR format:
```
RbNpPaSe4
1.0
8.793 0.000 0.000
-4.397 7.734 -0.533
0.000 -4.649 7.645
Pa Se Np Rb
2 8 2 2
direct
0.000 0.500 0.500
0.500 0.500 0.500
0.260 0.947 0.723
0.732 0.464 0.689
0.268 0.536 0.311
0.268 0.536 0.725
0.313 0.053 0.277
0.740 0.053 0.277
0.687 0.947 0.723
0.732 0.464 0.275
0.500 0.000 0.500
0.500 0.000 0.000
0.125 0.251 0.875
0.875 0.749 0.125
```

Computed properties:
energy relative to the elements, uncorrected = -1.23 eV per atom
electronic total energy = -6.564 eV per atom